Record 1
# Rb2NaPdBr6 PBE relaxed
data_Rb2NaPdBr6
_cell_length_a 7.5194
_cell_length_b 7.5194
_cell_length_c 41.3118
_cell_angle_alpha 90.00
_cell_angle_beta 90.00
_cell_angle_gamma 120.00
_space_group_name_H-M_alt 'R -3 m'
_space_group_IT_number 166
_space_group_name_Hall '-R 3 2"'
loop_
_atom_site_label
_atom_site_type_symbol
_atom_site_fract_x
_atom_site_fract_y
_atom_site_fract_z
Rb1 Rb 0.0000 0.0000 0.1288
Rb2 Rb 0.0000 0.0000 0.3021
Na1 Na 0.0000 0.0000 0.4167
Pd1 Pd 0.0000 0.0000 0.0000
Pd2 Pd 0.0000 0.0000 0.5000
Br1 Br 0.0049 0.5024 0.1312
Br2 Br 0.0100 0.5050 0.7032
# ΔE_f (raw): -1.0936 eV per atom
# excess energy over the best structure of this formula in the dataset: 0 meV per atom
# electronic total energy: -2.94 eV/atom


Record 2
# Na2PdRhBr PBE relaxed
data_Na2PdRhBr
_cell_length_a 5.2676
_cell_length_b 5.2676
_cell_length_c 4.8718
_cell_angle_alpha 90.00
_cell_angle_beta 90.00
_cell_angle_gamma 90.00
_space_group_name_H-M_alt 'P 4/m m m'
_space_group_IT_number 123
_space_group_name_Hall '-P 4 2'
loop_
_atom_site_label
_atom_site_type_symbol
_atom_site_fract_x
_atom_site_fract_y
_atom_site_fract_z
Na1 Na 0.0000 0.5000 0.0000
Pd1 Pd 0.0000 0.0000 0.5000
Rh1 Rh 0.5000 0.5000 0.5000
Br1 Br 0.0000 0.0000 0.0000
# ΔE_f (raw): 0.4258 eV per atom
# electronic total energy: -2.95 eV/atom


no.,V (Å³ per atom),magnetic moment (μB/atom)
1,33.71,0.0000
2,27.04,0.2858